{"formula": "Ac5PmHg4", "functional": "PBE", "state": "optimized geometry", "final_energy_ev_per_atom": -3.017, "m_tot_mub_per_fu": 0.78, "ef_ev_per_atom": -0.37, "dos_ef_per_ev_cell": 10.8, "cell": [[4.015, 0.000, 0.000], [0.000, 4.015, 0.000], [0.000, 0.000, 21.476]], "species": ["Ac", "Ac", "Ac", "Ac", "Ac", "Pm", "Hg", "Hg", "Hg", "Hg"], "fractional_positions": [[0.000, 0.000, 0.000], [0.000, 0.000, 0.190], [0.000, 0.000, 0.380], [0.000, 0.000, 0.620], [0.000, 0.000, 0.810], [0.500, 0.500, 0.500], [0.500, 0.500, 0.095], [0.500, 0.500, 0.288], [0.500, 0.500, 0.712], [0.500, 0.500, 0.905]]}

{"formula": "Ac3Pm2Hg2", "functional": "PBE", "state": "optimized geometry", "final_energy_ev_per_atom": -3.367, "m_tot_mub_per_fu": 0.00, "ef_ev_per_atom": -0.16, "dos_ef_per_ev_cell": 19.3, "cell": [[3.899, 0.000, 0.000], [0.000, 33.562, 0.000], [0.000, 0.000, 3.862]], "species": ["Ac", "Ac", "Ac", "Ac", "Ac", "Ac", "Pm", "Pm", "Pm", "Pm", "Hg", "Hg", "Hg", "Hg"], "fractional_positions": [[0.000, 0.000, 0.000], [0.000, 0.128, 0.000], [0.000, 0.872, 0.000], [0.500, 0.372, 0.000], [0.500, 0.500, 0.000], [0.500, 0.628, 0.000], [0.000, 0.293, 0.500], [0.000, 0.707, 0.500], [0.500, 0.207, 0.500], [0.500, 0.793, 0.500], [0.000, 0.436, 0.500], [0.000, 0.564, 0.500], [0.500, 0.064, 0.500], [0.500, 0.936, 0.500]]}

{"formula": "Ac3PmHg4", "functional": "PBE", "state": "optimized geometry", "final_energy_ev_per_atom": -2.752, "m_tot_mub_per_fu": 1.23, "ef_ev_per_atom": -0.47, "dos_ef_per_ev_cell": 9.6, "cell": [[3.987, 0.000, 0.000], [0.000, 3.987, 0.000], [0.000, 0.000, 15.958]], "species": ["Ac", "Ac", "Ac", "Pm", "Hg", "Hg", "Hg", "Hg"], "fractional_positions": [[0.000, 0.000, 0.000], [0.000, 0.000, 0.258], [0.000, 0.000, 0.742], [0.000, 0.000, 0.500], [0.500, 0.500, 0.128], [0.500, 0.500, 0.391], [0.500, 0.500, 0.609], [0.500, 0.500, 0.872]]}

{"formula": "Ac2PmHg", "functional": "PBE", "state": "optimized geometry", "e_above_lowest_polymorph_mev_per_atom": 0, "final_energy_ev_per_atom": -3.534, "m_tot_mub_per_fu": 0.00, "ef_ev_per_atom": -0.22, "dos_ef_per_ev_cell": 4.0, "cell": [[3.968, 0.000, 0.000], [0.000, 3.968, 0.000], [0.000, 0.000, 9.362]], "species": ["Ac", "Ac", "Pm", "Hg"], "fractional_positions": [[0.000, 0.000, 0.222], [0.000, 0.000, 0.778], [0.500, 0.500, 0.500], [0.500, 0.500, 0.000]]}

{"formula": "Ac4PmHg5", "functional": "PBE", "state": "optimized geometry", "final_energy_ev_per_atom": -2.738, "m_tot_mub_per_fu": 1.45, "ef_ev_per_atom": -0.47, "dos_ef_per_ev_cell": 11.7, "cell": [[3.999, 0.000, 0.000], [0.000, 3.999, 0.000], [0.000, 0.000, 20.009]], "species": ["Ac", "Ac", "Ac", "Ac", "Pm", "Hg", "Hg", "Hg", "Hg", "Hg"], "fractional_positions": [[0.000, 0.000, 0.103], [0.000, 0.000, 0.308], [0.000, 0.000, 0.692], [0.000, 0.000, 0.897], [0.000, 0.000, 0.500], [0.500, 0.500, 0.000], [0.500, 0.500, 0.205], [0.500, 0.500, 0.413], [0.500, 0.500, 0.587], [0.500, 0.500, 0.795]]}

{"formula": "AcPm2Hg3", "functional": "PBE", "state": "optimized geometry", "e_above_lowest_polymorph_mev_per_atom": 0, "final_energy_ev_per_atom": -2.884, "m_tot_mub_per_fu": 1.13, "ef_ev_per_atom": -0.47, "dos_ef_per_ev_cell": 6.9, "cell": [[3.881, 0.000, 0.000], [0.000, 3.881, 0.000], [0.000, 0.000, 11.726]], "species": ["Ac", "Pm", "Pm", "Hg", "Hg", "Hg"], "fractional_positions": [[0.000, 0.000, 0.000], [0.000, 0.000, 0.341], [0.000, 0.000, 0.659], [0.500, 0.500, 0.186], [0.500, 0.500, 0.500], [0.500, 0.500, 0.814]]}

{"formula": "AcPmHg4", "functional": "PBE", "state": "optimized geometry", "e_above_lowest_polymorph_mev_per_atom": 0, "final_energy_ev_per_atom": -2.110, "m_tot_mub_per_fu": 0.00, "ef_ev_per_atom": -0.43, "dos_ef_per_ev_cell": 5.0, "cell": [[3.662, 0.000, 0.000], [0.000, 5.132, 0.000], [0.000, 0.000, 8.779]], "species": ["Ac", "Pm", "Hg", "Hg", "Hg", "Hg"], "fractional_positions": [[0.000, 0.000, 0.000], [0.000, 0.500, 0.500], [0.500, 0.000, 0.338], [0.500, 0.000, 0.662], [0.500, 0.500, 0.174], [0.500, 0.500, 0.826]]}

{"formula": "AcPmHg4", "functional": "PBE", "state": "optimized geometry", "e_above_lowest_polymorph_mev_per_atom": 211, "final_energy_ev_per_atom": -1.898, "m_tot_mub_per_fu": 0.00, "ef_ev_per_atom": -0.22, "dos_ef_per_ev_cell": 5.2, "cell": [[4.595, 0.000, 0.000], [0.000, 4.612, 0.000], [0.000, 0.000, 9.253]], "species": ["Ac", "Pm", "Hg", "Hg", "Hg", "Hg"], "fractional_positions": [[0.000, 0.000, 0.000], [0.500, 0.500, 0.500], [0.000, 0.500, 0.265], [0.000, 0.500, 0.735], [0.500, 0.000, 0.266], [0.500, 0.000, 0.734]]}

{"formula": "Ac4PmHg", "functional": "PBE", "state": "optimized geometry", "e_above_lowest_polymorph_mev_per_atom": 0, "final_energy_ev_per_atom": -3.722, "m_tot_mub_per_fu": 0.00, "ef_ev_per_atom": -0.14, "dos_ef_per_ev_cell": 9.0, "cell": [[3.972, 0.000, 0.000], [0.000, 3.972, 0.000], [0.000, 0.000, 14.935]], "species": ["Ac", "Ac", "Ac", "Ac", "Pm", "Hg"], "fractional_positions": [[0.000, 0.000, 0.139], [0.000, 0.000, 0.861], [0.500, 0.500, 0.328], [0.500, 0.500, 0.672], [0.000, 0.000, 0.500], [0.500, 0.500, 0.000]]}

{"formula": "Ac4PmHg", "functional": "PBE", "state": "optimized geometry", "e_above_lowest_polymorph_mev_per_atom": 338, "final_energy_ev_per_atom": -3.384, "m_tot_mub_per_fu": 0.00, "ef_ev_per_atom": 0.20, "dos_ef_per_ev_cell": 8.7, "cell": [[5.725, 0.000, 0.000], [0.000, 5.725, 0.000], [0.000, 0.000, 8.057]], "species": ["Ac", "Ac", "Ac", "Ac", "Pm", "Hg"], "fractional_positions": [[0.000, 0.500, 0.241], [0.000, 0.500, 0.759], [0.500, 0.000, 0.241], [0.500, 0.000, 0.759], [0.000, 0.000, 0.500], [0.500, 0.500, 0.000]]}

{"formula": "AcPmHg", "functional": "PBE", "state": "optimized geometry", "e_above_lowest_polymorph_mev_per_atom": 241, "final_energy_ev_per_atom": -3.145, "m_tot_mub_per_fu": 0.09, "ef_ev_per_atom": -0.09, "dos_ef_per_ev_cell": 21.9, "cell": [[7.652, 0.000, 0.000], [0.000, 7.652, 0.000], [0.000, 0.000, 7.652]], "species": ["Ac", "Ac", "Ac", "Ac", "Pm", "Pm", "Pm", "Pm", "Hg", "Hg", "Hg", "Hg"], "fractional_positions": [[0.000, 0.000, 0.000], [0.000, 0.500, 0.500], [0.500, 0.000, 0.500], [0.500, 0.500, 0.000], [0.000, 0.000, 0.500], [0.000, 0.500, 0.000], [0.500, 0.000, 0.000], [0.500, 0.500, 0.500], [0.250, 0.250, 0.250], [0.250, 0.750, 0.750], [0.750, 0.250, 0.750], [0.750, 0.750, 0.250]]}

{"formula": "Ac2PmHg2", "functional": "PBE", "state": "optimized geometry", "e_above_lowest_polymorph_mev_per_atom": 23, "final_energy_ev_per_atom": -3.013, "m_tot_mub_per_fu": 0.97, "ef_ev_per_atom": -0.30, "dos_ef_per_ev_cell": 11.9, "cell": [[3.956, 0.000, 0.000], [0.000, 22.239, 0.000], [0.000, 0.000, 3.892]], "species": ["Ac", "Ac", "Ac", "Ac", "Pm", "Pm", "Hg", "Hg", "Hg", "Hg"], "fractional_positions": [[0.000, 0.173, 0.000], [0.000, 0.827, 0.000], [0.500, 0.327, 0.000], [0.500, 0.673, 0.000], [0.000, 0.000, 0.000], [0.500, 0.500, 0.000], [0.000, 0.420, 0.500], [0.000, 0.580, 0.500], [0.500, 0.080, 0.500], [0.500, 0.920, 0.500]]}

{"formula": "Ac6PmHg2", "functional": "PBE", "state": "optimized geometry", "final_energy_ev_per_atom": -3.522, "m_tot_mub_per_fu": 0.00, "ef_ev_per_atom": -0.19, "dos_ef_per_ev_cell": 10.3, "cell": [[6.914, -2.014, 0.000], [6.914, 2.014, 0.000], [-4.139, 0.000, 12.483]], "species": ["Ac", "Ac", "Ac", "Ac", "Ac", "Ac", "Pm", "Hg", "Hg"], "fractional_positions": [[0.030, 0.030, 0.328], [0.315, 0.315, 0.123], [0.315, 0.315, 0.408], [0.685, 0.685, 0.592], [0.685, 0.685, 0.877], [0.970, 0.970, 0.672], [0.000, 0.000, 0.000], [0.362, 0.362, 0.818], [0.638, 0.638, 0.182]]}